one.
Ca2Y2Ag | Alexandria | PBE-GGA | relaxed; space group = P4/mbm, No. 127
1.0
7.664 0.000 0.000
0.000 7.664 0.000
0.000 0.000 5.852
Ag Ca Y
2 4 4
direct
0.000 0.000 0.000
0.500 0.500 0.000
0.334 0.166 0.500
0.834 0.334 0.500
0.666 0.834 0.500
0.166 0.666 0.500
0.152 0.348 0.000
0.652 0.152 0.000
0.848 0.652 0.000
0.348 0.848 0.000

two.
Ca2Y2Ag | Alexandria | PBE-GGA | relaxed; space group = P4/mbm, No. 127
1.0
-3.593 -4.564 4.880
6.165 -4.402 0.422
1.940 3.136 4.362
Y Ca Ag
4 4 2
direct
0.335 0.165 0.500
0.165 0.665 0.500
0.665 0.835 0.500
0.835 0.335 0.500
0.152 0.348 0.000
0.848 0.652 0.000
0.652 0.152 0.000
0.348 0.848 0.000
0.500 0.500 0.000
0.000 0.000 0.000

Decreasing stability: one, two

one.
CaYAg4 | Alexandria | PBE-GGA | relaxed; space group = P2/m, No. 10
1.0
-1.479 0.849 3.253
-8.362 -4.236 -2.697
1.336 -3.641 1.558
Ag Ca Y
4 1 1
direct
0.000 0.766 0.501
0.500 0.255 0.999
0.000 0.234 0.499
0.500 0.745 0.001
0.500 0.500 0.500
0.000 0.000 0.000

two.
CaYAg4 | Alexandria | PBE-GGA | relaxed; space group = F-43m, No. 216
1.0
5.738 0.000 0.000
2.869 4.969 0.000
2.869 1.656 4.685
Ag Y Ca
4 1 1
direct
0.625 0.125 0.625
0.625 0.625 0.625
0.625 0.625 0.125
0.125 0.625 0.625
0.000 0.000 0.000
0.250 0.250 0.250

three.
CaYAg4 | Alexandria | PBE-GGA | relaxed; space group = Cmmm, No. 65
1.0
5.301 0.077 -0.047
-0.061 5.184 1.466
0.023 1.417 5.198
Ag Ca Y
4 1 1
direct
0.501 0.170 0.670
0.501 0.825 0.326
0.001 0.668 0.169
0.001 0.326 0.827
0.001 0.997 0.498
0.501 0.497 0.998

Decreasing stability: three, two, one

one.
Ca2ZnAg2 | Alexandria | PBE-GGA | relaxed; space group = Ibam, No. 72
1.0
6.306 0.000 0.000
0.000 6.570 0.000
-3.153 -3.285 6.477
Zn Ca Ag
2 4 4
direct
0.750 0.500 0.000
0.250 0.500 0.000
0.857 0.660 0.714
0.643 0.945 0.286
0.143 0.340 0.286
0.357 0.055 0.714
0.618 0.394 0.236
0.882 0.157 0.764
0.382 0.606 0.764
0.118 0.843 0.236

two.
Ca2ZnAg2 | Alexandria | PBE-GGA | relaxed; space group = P4/mbm, No. 127
1.0
-7.442 -3.826 -0.727
0.423 -2.353 8.052
-1.742 3.193 1.025
Zn Ag Ca
2 4 4
direct
0.500 0.500 0.000
0.000 0.000 0.000
0.623 0.877 0.500
0.123 0.623 0.500
0.877 0.377 0.500
0.377 0.123 0.500
0.669 0.169 0.000
0.169 0.331 0.000
0.331 0.831 0.000
0.831 0.669 0.000

three.
Ca2ZnAg2 | Alexandria | PBE-GGA | relaxed; space group = I4/mmm, No. 139
1.0
-2.317 2.789 -1.333
-1.904 -2.600 -2.131
-7.548 -1.292 4.820
Ag Ca Zn
2 2 1
direct
0.250 0.750 0.500
0.750 0.250 0.500
0.397 0.397 0.205
0.603 0.603 0.795
0.000 0.000 0.000

four.
Ca2ZnAg2 | Alexandria | PBE-GGA | relaxed; space group = I4/mmm, No. 139
1.0
5.859 0.000 0.000
0.000 5.859 0.000
2.929 2.929 3.921
Ag Ca Zn
2 2 1
direct
0.668 0.668 0.664
0.332 0.332 0.336
0.250 0.750 0.500
0.750 0.250 0.500
0.000 0.000 0.000

Decreasing stability: one, three, four, two

one.
Ca8Zn2Ag | Alexandria | PBE-GGA | relaxed; space group = Cm, No. 8
1.0
6.161 0.040 -1.050
-2.048 7.400 -3.049
-0.073 -0.061 8.261
Ca Zn Ag
8 2 1
direct
0.983 0.781 0.220
0.580 0.078 0.337
0.380 0.667 0.928
0.177 0.368 0.368
0.580 0.337 0.078
0.801 0.639 0.639
0.983 0.220 0.781
0.380 0.928 0.667
0.492 0.319 0.693
0.492 0.693 0.319
0.153 0.003 0.003

two.
Ca8Zn2Ag | Alexandria | PBE-GGA | relaxed; space group = C2/m, No. 12
1.0
5.307 0.000 0.000
0.000 7.395 0.157
-2.653 -2.983 8.969
Ca Ag Zn
8 1 2
direct
0.595 0.452 0.190
0.969 0.212 0.937
0.795 0.684 0.591
0.205 0.316 0.409
0.031 0.788 0.063
0.667 0.968 0.335
0.405 0.548 0.810
0.333 0.032 0.665
0.500 0.000 0.000
0.816 0.288 0.632
0.184 0.712 0.368

Decreasing stability: two, one